# RbBe2NiF8

A relaxed structure of RbBe2NiF8 (GGA+U, Alexandria via LeMat-Bulk).

Calculated values
Uncorrected energy   -4.8519 eV/atom
Symmetry   R-3 (148)

abc: 4.858 4.858 8.574
angles: 73.54 73.54 60.00
Fractional positions:
Be: 0.264 0.264 0.207
Be: 0.736 0.736 0.793
F: 0.245 0.003 0.139
F: 0.797 0.797 0.609
F: 0.003 0.613 0.139
F: 0.755 0.997 0.861
F: 0.613 0.245 0.139
F: 0.203 0.203 0.391
F: 0.997 0.387 0.861
F: 0.387 0.755 0.861
Ni: 0.000 0.000 0.000
Rb: 0.500 0.500 0.500